(1)
Below is a geometry-optimized SrPrMgRuO6 structure, with properties calculated at the GGA-PBEsol level.

Properties
Total moment in μB/atom: 0.3015
E_form (uncorrected) in eV per atom: -2.41

Unit cell a=5.5208 b=5.5895 c=9.5577 alpha=90.00 beta=125.14 gamma=90.00
Closest atoms and distances in Å follow each position.
Space group Pc (No. 7)
Asymmetric unit:
1 Sr 0.0000 0.2175 0.0000 [2 per cell]  7 O 2.46-2.74
2 Pr 0.4837 0.2967 0.5007 [2 per cell]  6 O 2.39-2.59
3 Mg 0.7441 0.2449 0.2505 [2 per cell]  6 O 2.05-2.07
4 Ru 0.2440 0.2480 0.7496 [2 per cell]  6 O 1.94-1.96
5 O 0.0076 0.4656 0.7849 [2 per cell]  1 Ru 1.95, 1 Mg 2.07
6 O 0.0872 0.0346 0.2921 [2 per cell]  1 Ru 1.95, 1 Mg 2.06
7 O 0.4211 0.4785 0.2120 [2 per cell]  1 Ru 1.96, 1 Mg 2.07
8 O 0.4859 0.0478 0.7082 [2 per cell]  1 Ru 1.95, 1 Mg 2.05
9 O 0.5500 0.2701 0.9930 [2 per cell]  1 Ru 1.94, 1 Mg 2.05
10 O 0.9175 0.2377 0.5066 [2 per cell]  1 Ru 1.96, 1 Mg 2.05



(2)
Below is a geometry-optimized YSiH3 structure, with properties calculated at the GGA-PBEsol level.

Properties
E above lowest polymorph in meV per atom: 183.4
Total moment in μB/atom: 0.0000

Unit cell a=3.9494 b=3.9494 c=3.9494 alpha=90.00 beta=90.00 gamma=90.00
Closest atoms and distances in Å follow each position.
Space group Pm-3m (No. 221)
Asymmetric unit:
1 Y 0.0000 0.0000 0.0000 [1 per cell]  6 H 1.97
2 Si 0.5000 0.5000 0.5000 [1 per cell]  12 H 2.79
3 H 0.0000 0.0000 0.5000 [3 per cell]  2 Y 1.97



(3)
Below is a geometry-optimized BaLa2Tl structure, with properties calculated at the GGA-PBEsol level.

Properties
E above lowest polymorph in meV per atom: 116.2
Total moment in μB/atom: 0.0117

Unit cell a=7.9930 b=7.9930 c=7.9930 alpha=90.00 beta=90.00 gamma=90.00
Closest atoms and distances in Å follow each position.
Space group Fm-3m (No. 225)
Asymmetric unit:
1 Ba 0.0000 0.0000 0.0000 [4 per cell]  8 La 3.46
2 La 0.2500 0.2500 0.2500 [8 per cell]  4 Tl 3.46, 4 Ba 3.46
3 Tl 0.0000 0.0000 0.5000 [4 per cell]  8 La 3.46



Number 1: ρ 6.20 g/cm³. Number 2: ρ 3.24 g/cm³. Number 3: ρ 8.06 g/cm³.